(1)
Computed, not measured: an optimized crystal structure of LiNd6Tl5 at the PBE-GGA level of DFT.

The calculated total energy is -0.137 hartree per atom. The formation enthalpy at 0 K is -0.1852 eV per atom. The calculation puts the relative energy among the computed polymorphs at 0.149 eV/atom.

```
LiNd6Tl5
1.0
3.376 -5.649 0.000
3.376 5.649 0.000
-1.876 0.000 9.950
Li Nd Tl
1 6 5
direct
0.000 0.000 0.000
0.096 0.443 0.262
0.271 0.271 0.772
0.443 0.096 0.262
0.557 0.904 0.738
0.729 0.729 0.228
0.904 0.557 0.738
0.146 0.854 0.500
0.298 0.702 0.000
0.500 0.500 0.500
0.702 0.298 0.000
0.854 0.146 0.500
```



(2)
Computed, not measured: an optimized crystal structure of Ac8TcP3I4 at the PBE-GGA level of DFT.

The calculation puts the formation energy (no corrections) at -17.21 eV per formula unit. The calculated total energy is -0.190 hartree per atom.

```
Ac8TcP3I4
1.0
4.465 2.578 8.233
-4.465 2.578 8.233
0.000 -5.156 8.233
Ac Tc P I
8 1 3 4
direct
0.232 0.232 0.232
0.241 0.725 0.725
0.275 0.275 0.759
0.275 0.759 0.275
0.725 0.241 0.725
0.725 0.725 0.241
0.759 0.275 0.275
0.768 0.768 0.768
0.500 0.500 0.500
0.000 0.000 0.500
0.000 0.500 0.000
0.500 0.000 0.000
0.000 0.000 0.000
0.000 0.500 0.500
0.500 0.000 0.500
0.500 0.500 0.000
```